A plane-wave DFT calculation with PBE-GGA was carried out for an optimized crystal structure of LiPu2Br8.

Lattice parameters (Å, degrees): 7.2634 7.5465 10.9356 110.00 90.00 118.77
Each line ends with the local moment (μB).
Sites, in units of the cell vectors:
Li 0.0000 0.0000 0.0000  0.00
Pu 0.8959 0.7919 0.6144  4.80
Pu 0.1041 0.2081 0.3856  4.80
Br 0.8126 0.1271 0.1868  -0.07
Br 0.3144 0.1271 0.1868  -0.07
Br 0.1874 0.8729 0.8132  -0.07
Br 0.3282 0.6564 0.4714  -0.08
Br 0.6856 0.8729 0.8132  -0.07
Br 0.8775 0.7550 0.3427  -0.09
Br 0.1225 0.2450 0.6573  -0.09
Br 0.6718 0.3436 0.5286  -0.08

Summary:
The value obtained for the theoretical density is 3.89 g/cm3. The space group is C2/m, No. 12. Its calculated total energy is -0.19532 hartree per atom.